Computed, not measured: a geometry-optimized Na3Be2PtO6 structure at the PBE level of DFT.

Lattice parameters (Å, degrees): 5.332 5.332 6.100 90.00 90.00 120.00
Atoms (fractional coordinates):
Na1 0.000 0.000 0.000
Na2 0.333 0.667 0.751
Na3 0.667 0.333 0.249
Be1 0.333 0.667 0.310
Be2 0.667 0.333 0.690
Pt1 0.000 0.000 0.500
O1 0.169 0.338 0.294
O2 0.169 0.831 0.294
O3 0.338 0.169 0.706
O4 0.662 0.831 0.294
O5 0.831 0.169 0.706
O6 0.831 0.662 0.706

Calculated values
D(E_F)   0.410 states/eV per atom
V   12.519 Å³ per atom
ΔE_f (raw)   -1.509 eV per atom
E_tot   -0.4000 Ry per atom
Density   4.2 Mg/m³
Magnetization   0.00 Bohr magnetons per cell
Space-group type   P-3m1 (164)



Computed, not measured: a geometry-optimized DyLuCd2 structure at the PBE level of DFT.

Lattice parameters (Å, degrees): 5.204 5.204 3.762 90.00 90.00 90.00
Atoms (fractional coordinates):
Dy1 0.000 0.000 0.000
Lu1 0.500 0.500 0.000
Cd1 0.000 0.500 0.500
Cd2 0.500 0.000 0.500

Calculated values
D(E_F)   0.814 states/eV per atom
V   25.473 Å³ per atom
E_tot   -0.2240 Ry per atom
Density   9.2 Mg/m³
Magnetization   0.00 Bohr magnetons per cell
Space-group type   P4/mmm (123)
ΔE_f   -309 meV/atom



Computed, not measured: a geometry-optimized Al2TcW structure at the PBE level of DFT.

Lattice parameters (Å, degrees): 3.078 4.518 8.633 90.00 90.00 90.00
Atoms (fractional coordinates):
Al1 0.000 0.000 0.243
Al2 0.000 0.000 0.757
Al3 0.500 0.500 0.257
Al4 0.500 0.500 0.743
Tc1 0.000 0.500 0.500
Tc2 0.500 0.000 0.000
W1 0.000 0.500 0.000
W2 0.500 0.000 0.500

Calculated values
D(E_F)   0.528 states/eV per atom
V   15.008 Å³ per atom
E_tot   -0.5731 Ry per atom
Density   9.3 Mg/m³
Magnetization   0.00 Bohr magnetons per cell
Space-group type   Immm (71)
ΔE_f   -97 meV/atom